# 1
This record from Alexandria describes crystalline Rb2NbSCl5 at its relaxed geometry. The functional is PBE.

```
data_Rb2NbSCl5
_space_group_name_H-M_alt 'P 1'
_space_group_IT_number 1
_cell_length_a 7.368
_cell_length_b 7.368
_cell_length_c 7.368
_cell_angle_alpha 121.40
_cell_angle_beta 121.40
_cell_angle_gamma 87.58
loop_
_space_group_symop_operation_xyz
'x,y,z'
loop_
_atom_site_label
_atom_site_fract_x
_atom_site_fract_y
_atom_site_fract_z
_atom_site_occupancy
Rb1 0.000 0.500 0.500 1
Rb2 0.500 0.000 0.500 1
Nb1 0.270 0.270 0.000 1
S1 0.478 0.478 0.000 1
Cl1 0.009 0.009 0.526 1
Cl2 0.009 0.483 0.000 1
Cl3 0.022 0.022 0.000 1
Cl4 0.483 0.009 0.000 1
Cl5 0.483 0.483 0.474 1
```

Summary:
Density of states at the Fermi level in states/eV per cell: 0.000
Raw total energy in Ha/atom: -0.1600

=====

# 2
This record from Alexandria describes crystalline RbNbS2Cl at its relaxed geometry. The functional is PBE.

```
data_RbNbS2Cl
_space_group_name_H-M_alt 'P 1'
_space_group_IT_number 1
_cell_length_a 5.447
_cell_length_b 5.447
_cell_length_c 5.526
_cell_angle_alpha 90.00
_cell_angle_beta 90.00
_cell_angle_gamma 90.00
loop_
_space_group_symop_operation_xyz
'x,y,z'
loop_
_atom_site_label
_atom_site_fract_x
_atom_site_fract_y
_atom_site_fract_z
_atom_site_occupancy
Rb1 0.000 0.000 0.000 1
Nb1 0.500 0.500 0.500 1
S1 0.000 0.500 0.000 1
S2 0.500 0.000 0.000 1
Cl1 0.000 0.000 0.500 1
```

Summary:
Density of states at the Fermi level in states/eV per cell: 6.730
Energy relative to the lowest polymorph listed for this composition in meV/atom: 2337
Raw total energy in Ha/atom: -0.1095

=====

# 3
This record from Alexandria describes crystalline RbNbSCl2 at its relaxed geometry. The functional is PBE.

```
data_RbNbSCl2
_space_group_name_H-M_alt 'P 1'
_space_group_IT_number 1
_cell_length_a 5.202
_cell_length_b 5.202
_cell_length_c 4.813
_cell_angle_alpha 90.00
_cell_angle_beta 90.00
_cell_angle_gamma 90.00
loop_
_space_group_symop_operation_xyz
'x,y,z'
loop_
_atom_site_label
_atom_site_fract_x
_atom_site_fract_y
_atom_site_fract_z
_atom_site_occupancy
Rb1 0.000 0.000 0.000 1
Nb1 0.500 0.500 0.500 1
S1 0.500 0.500 0.000 1
Cl1 0.000 0.500 0.500 1
Cl2 0.500 0.000 0.500 1
```

Summary:
Density of states at the Fermi level in states/eV per cell: 2.041
Energy relative to the lowest polymorph listed for this composition in meV/atom: 0
Raw total energy in Ha/atom: -0.1813